Entry 1:
Compound: VSi2C
Source: Alexandria
Functional: PBE
Structure: optimized geometry

Structure (extended XYZ):
```
8
Lattice="-3.021 3.021 2.548 3.021 -3.021 2.548 3.021 3.021 -2.548" Properties=species:S:1:pos:R:3 pbc="T T T"
V 0.000 0.000 0.000
V 0.000 3.021 1.274
Si 1.510 -1.040 1.911
Si 1.981 1.510 0.637
Si 1.510 4.060 -0.637
Si 1.040 1.510 3.185
C 3.021 0.000 1.274
C 0.000 0.000 2.548
```

Properties
Mass density ... 4.3 Mg/m³


Entry 2:
Compound: VSiC3
Source: Alexandria
Functional: PBE
Structure: optimized geometry

Structure (extended XYZ):
```
5
Lattice="3.707 0.000 0.000 0.000 3.707 0.000 0.000 0.000 3.707" Properties=species:S:1:pos:R:3 pbc="T T T"
V 0.000 0.000 0.000
Si 1.854 1.854 1.854
C 0.000 1.854 1.854
C 1.854 0.000 1.854
C 1.854 1.854 0.000
```

Properties
Mass density ... 3.7 Mg/m³


Entry 3:
Compound: V2SiC
Source: Alexandria
Functional: PBE
Structure: optimized geometry

Structure (extended XYZ):
```
4
Lattice="0.000 2.833 2.833 2.833 0.000 2.833 2.833 2.833 0.000" Properties=species:S:1:pos:R:3 pbc="T T T"
V 1.417 1.417 1.417
V 4.250 4.250 4.250
Si 0.000 0.000 0.000
C 2.833 2.833 2.833
```

Properties
Mass density ... 5.2 Mg/m³


Entry 4:
Compound: V2SiC
Source: Alexandria
Functional: PBE
Structure: optimized geometry

Structure (extended XYZ):
```
8
Lattice="-3.007 3.007 2.658 3.007 -3.007 2.658 3.007 3.007 -2.658" Properties=species:S:1:pos:R:3 pbc="T T T"
V 4.510 1.100 -0.664
V 1.100 1.503 0.664
V -1.503 1.907 1.993
V 1.907 1.503 3.322
Si 3.007 0.000 1.329
Si 0.000 0.000 2.658
C 0.000 0.000 0.000
C 0.000 3.007 1.329
```

Properties
Mass density ... 4.9 Mg/m³


Entry 5:
Compound: V6SiC
Source: Alexandria
Functional: PBE
Structure: optimized geometry

Structure (extended XYZ):
```
8
Lattice="5.105 0.000 0.000 2.552 4.429 0.000 0.015 2.939 4.721" Properties=species:S:1:pos:R:3 pbc="T T T"
V 0.577 1.593 1.099
V 1.687 3.247 3.631
V 3.645 3.128 1.091
V 4.027 4.241 3.630
V 5.985 4.122 1.090
V 7.096 5.775 3.621
Si 2.560 1.470 2.360
C 0.000 0.000 0.000
```

Properties
Mass density ... 5.4 Mg/m³


Entry 6:
Compound: V5SiC
Source: Alexandria
Functional: PBE
Structure: optimized geometry

Structure (extended XYZ):
```
14
Lattice="3.335 -3.626 0.000 3.335 3.626 0.000 -1.303 0.000 7.200" Properties=species:S:1:pos:R:3 pbc="T T T"
V 1.998 1.943 2.616
V 2.357 2.772 5.400
V 0.563 0.655 7.006
V 4.020 1.943 0.984
V 1.215 -0.655 3.406
V 4.151 0.655 3.794
V 1.347 -1.943 6.216
V 4.803 -0.655 0.194
V 3.009 -2.772 1.800
V 3.368 -1.943 4.584
Si 2.357 0.300 5.400
Si 3.009 -0.300 1.800
C 0.000 0.000 0.000
C -0.651 0.000 3.600
```

Properties
Mass density ... 5.6 Mg/m³


Entry 7:
Compound: V6SiC4
Source: Alexandria
Functional: PBE
Structure: optimized geometry

Structure (extended XYZ):
```
22
Lattice="1.502 -4.929 0.000 1.502 4.929 0.000 0.000 0.000 15.327" Properties=species:S:1:pos:R:3 pbc="T T T"
V 0.000 0.000 0.000
V 0.000 0.000 7.663
V 1.502 3.528 11.495
V 1.502 2.193 1.228
V 1.502 2.193 6.435
V 1.502 0.382 9.982
V 1.502 0.382 13.008
V 1.502 -0.382 2.319
V 1.502 -0.382 5.345
V 1.502 -2.193 8.891
V 1.502 -2.193 14.099
V 1.502 -3.528 3.832
Si 1.502 3.304 3.832
Si 1.502 -3.304 11.495
C 1.502 4.039 9.551
C 1.502 4.039 13.439
C 1.502 1.365 8.279
C 1.502 1.365 14.711
C 1.502 -1.365 0.615
C 1.502 -1.365 7.048
C 1.502 -4.039 1.888
C 1.502 -4.039 5.776
```

Properties
Mass density ... 5.6 Mg/m³


Entry 8:
Compound: V2SiC
Source: Alexandria
Functional: PBE
Structure: optimized geometry

Structure (extended XYZ):
```
8
Lattice="5.068 0.000 0.000 0.000 2.958 0.000 -1.495 0.000 6.232" Properties=species:S:1:pos:R:3 pbc="T T T"
V -0.324 0.740 1.977
V 1.342 0.740 4.179
V 2.232 2.219 2.053
V 3.898 2.219 4.255
Si 1.497 0.740 0.045
Si 2.076 2.219 6.187
C 0.489 2.219 3.083
C 3.084 0.740 3.149
```

Properties
Mass density ... 5.0 Mg/m³


Calculated values (eV per atom) of calculated total energy for the records, taken in order: -6.91, -6.66, -7.63, -8.14, -8.63, -8.92, -9.34, -8.65.
Calculated values (meV/atom) of energy relative to the elements, uncorrected for the records, taken in order: 391.6, 1784.1, 586.6, 83.4, 35.9, -310.7, -523.1, -430.4.